Entry one
# In2TeSe

In2TeSe after structural relaxation (GGA-PBEsol, Alexandria via LeMat-Bulk).

a = 4.206 Å, b = 4.206 Å, c = 6.122 Å
α = 90.00°, β = 90.00°, γ = 90.00°
Space group P4mm (No. 99)
Symmetry-distinct sites (fractional):
In (0.000, 0.000, 0.000)
In (0.500, 0.500, 0.456)
Te (0.500, 0.500, 0.950)
Se (0.000, 0.000, 0.456)

---

Entry two
# In2TeSe

In2TeSe after structural relaxation (GGA-PBEsol, Alexandria via LeMat-Bulk).

a = 3.618 Å, b = 3.618 Å, c = 7.630 Å
α = 90.00°, β = 90.00°, γ = 90.00°
Space group P4/mmm (No. 123)
Symmetry-distinct sites (fractional):
In (0.000, 0.000, 0.225)
Te (0.500, 0.500, 0.500)
Se (0.500, 0.500, 0.000)

---

Entry three
# In2TeSe

In2TeSe after structural relaxation (GGA-PBEsol, Alexandria via LeMat-Bulk).

a = 3.000 Å, b = 5.940 Å, c = 6.035 Å
α = 90.00°, β = 90.00°, γ = 90.00°
Space group Pmmm (No. 47)
Symmetry-distinct sites (fractional):
In (0.000, 0.000, 0.000)
In (0.500, 0.500, 0.500)
Te (0.000, 0.000, 0.500)
Se (0.500, 0.500, 0.000)

---

Stability, highest: entry one

---

Entry one
# TlInSe

TlInSe after structural relaxation (GGA-PBEsol, Alexandria via LeMat-Bulk).

a = 4.1059 Å, b = 4.1059 Å, c = 5.7357 Å
α = 90.00°, β = 90.00°, γ = 120.00°
Space group P3m1 (No. 156)
Symmetry-distinct sites (fractional):
Tl (0.0000, 0.0000, 0.0000)
In (0.6667, 0.3333, 0.6103)
Se (0.3333, 0.6667, 0.3450)

---

Entry two
# TlInSe

TlInSe after structural relaxation (GGA-PBEsol, Alexandria via LeMat-Bulk).

a = 3.677 Å, b = 3.677 Å, c = 11.452 Å
α = 90.00°, β = 90.00°, γ = 90.00°
Space group I4mm (No. 107)
Symmetry-distinct sites (fractional):
Tl (0.000, 0.000, 0.000)
In (0.000, 0.000, 0.701)
Se (0.000, 0.000, 0.321)

---

Stability, highest: entry one